(1)
Entry from OQMD: CoB4Sb after structural relaxation (PBE).

a = 3.014 Å, b = 3.014 Å, c = 8.011 Å
α = 90.00°, β = 90.00°, γ = 120.00°
Atoms (fractional coordinates):
B 0.667 0.333 0.176
B 0.333 0.667 0.176
B 0.667 0.333 0.824
B 0.333 0.667 0.824
Co 0.000 0.000 0.000
Sb 0.000 0.000 0.500

Values from the calculation:
**Crystal system**: hexagonal


(2)
Entry from OQMD: Co21B6Sb2 after structural relaxation (PBE).

a = 7.461 Å, b = 7.461 Å, c = 7.461 Å
α = 120.00°, β = 90.00°, γ = 120.00°
Each line ends with the local moment (μB).
Atoms (fractional coordinates):
B 0.723 0.000 0.277  0.00
B 0.277 0.000 0.277  0.00
B 0.277 0.554 0.277  0.00
B 0.277 0.000 0.723  0.00
B 0.723 0.000 0.723  0.00
B 0.723 0.446 0.723  0.00
Co 0.000 0.000 0.000  -0.07
Co 0.334 0.000 0.000  0.00
Co 0.666 0.000 0.000  0.00
Co 0.000 0.334 0.000  0.00
Co 0.334 0.334 0.000  0.00
Co 0.000 0.666 0.000  0.00
Co 0.666 0.666 0.000  0.00
Co 0.384 0.767 0.151  0.00
Co 0.000 0.000 0.334  0.00
Co 0.000 0.334 0.334  0.00
Co 0.334 0.334 0.334  0.00
Co 0.616 0.233 0.384  0.00
Co 0.151 0.767 0.384  0.00
Co 0.616 0.767 0.384  0.00
Co 0.849 0.233 0.616  0.00
Co 0.384 0.233 0.616  0.00
Co 0.384 0.767 0.616  0.00
Co 0.000 0.000 0.666  0.00
Co 0.000 0.666 0.666  0.00
Co 0.666 0.666 0.666  0.00
Co 0.616 0.233 0.849  0.00
Sb 0.750 0.500 0.250  0.00
Sb 0.250 0.500 0.750  0.00

Values from the calculation:
**Crystal system**: cubic


(3)
Entry from OQMD: Co4BSb3 after structural relaxation (PBE).

a = 6.056 Å, b = 3.228 Å, c = 6.196 Å
α = 90.00°, β = 96.15°, γ = 90.00°
Each line ends with the local moment (μB).
Atoms (fractional coordinates):
B 0.113 0.500 0.748  -0.01
Co 0.792 0.500 0.516  0.01
Co 0.167 0.000 0.565  0.02
Co 0.862 0.500 0.922  0.00
Co 0.211 0.000 0.965  0.14
Sb 0.898 0.000 0.230  0.00
Sb 0.390 0.500 0.293  0.00
Sb 0.566 0.000 0.760  0.00

Values from the calculation:
**Crystal system**: monoclinic


(4)
Entry from OQMD: Co4B3Sb after structural relaxation (PBE).

a = 5.010 Å, b = 2.992 Å, c = 5.649 Å
α = 90.00°, β = 90.04°, γ = 90.00°
Each line ends with the local moment (μB).
Atoms (fractional coordinates):
B 0.748 0.500 0.080  0.00
B 0.250 0.500 0.405  -0.01
B 0.750 0.000 0.603  0.00
Co 0.989 0.000 0.304  0.09
Co 0.511 0.000 0.304  0.07
Co 0.989 0.500 0.680  -0.01
Co 0.512 0.500 0.680  -0.01
Sb 0.251 0.000 0.944  0.00

Values from the calculation:
**Crystal system**: monoclinic


no.,spin magnetization (μB/atom),DFT total energy (eV/cell)
1,0.000,-35.5
2,0.001,-201.4
3,0.019,-47.2
4,0.018,-51.4